Computed, not measured: a relaxed Ca2V2Cl2O5 crystal at the PBE with a Hubbard U level of DFT.

Cell lengths 12.7770, 12.7770, 12.7770 Å; angles 163.01, 163.01, 24.12 degrees
Closest atoms and distances in Å follow each position.
Positions (direct):
Ca 0.1474 0.1474 0.0000  4 O 2.37
Ca 0.8526 0.8526 0.0000  4 O 2.37
V 0.4290 0.4290 0.0000  5 O 1.77-1.95
V 0.5710 0.5710 0.0000  5 O 1.77-1.95
Cl 0.3042 0.3042 0.0000  4 Ca 2.93, 1 V 3.12, 4 O 3.24
Cl 0.6958 0.6958 0.0000  4 Ca 2.93, 1 V 3.12, 4 O 3.24
O 0.0902 0.5902 0.5000  2 V 1.95
O 0.4098 0.9098 0.5000  2 V 1.95
O 0.5000 0.5000 0.0000  2 V 1.77
O 0.5902 0.0902 0.5000  2 V 1.95
O 0.9098 0.4098 0.5000  2 V 1.95

- E_tot (eV for the cell shown) = -72.422
- space group = I4/mmm
- magnetization (μB/atom) = 0.18